Run A
Material: Nd3MgOs
Method: DFT, GGA-PBE
State: optimized geometry

Cell: 5.5731 5.5731 5.5731 Å, 90.00 90.00 90.00°
Positions (direct):
Nd 0.0000 0.0000 0.5000
Nd 0.0000 0.5000 0.0000
Nd 0.5000 0.0000 0.0000
Mg 0.5000 0.5000 0.5000
Os 0.0000 0.0000 0.0000

Total magnetic moment: 0.00 μB per formula unit
Mass density: 6.21 g cm⁻³

=====

Run B
Material: Nd3MgOs
Method: DFT, GGA-PBE
State: optimized geometry

Cell: 7.0850 5.0855 8.3014 Å, 90.00 91.88 90.00°
Positions (direct):
Nd 0.0046 0.2500 0.1511
Nd 0.2193 0.2500 0.5603
Nd 0.4736 0.7500 0.8478
Nd 0.5264 0.2500 0.1522
Nd 0.7807 0.7500 0.4397
Nd 0.9954 0.7500 0.8489
Mg 0.2836 0.7500 0.2878
Mg 0.7164 0.2500 0.7122
Os 0.2478 0.2500 0.8829
Os 0.7522 0.7500 0.1171

Total magnetic moment: 0.00 μB per formula unit
Mass density: 7.19 g cm⁻³

=====

Run C
Material: Nd3MgOs
Method: DFT, GGA-PBE
State: optimized geometry

Cell: 6.1866 6.9857 7.3651 Å, 90.00 109.76 90.00°
Positions (direct):
Nd 0.0350 0.0058 0.2677
Nd 0.0350 0.4942 0.2677
Nd 0.4510 0.7500 0.1199
Nd 0.5490 0.2500 0.8801
Nd 0.9650 0.5058 0.7323
Nd 0.9650 0.9942 0.7323
Mg 0.4371 0.7500 0.6319
Mg 0.5629 0.2500 0.3681
Os 0.1999 0.2500 0.0354
Os 0.8001 0.7500 0.9646

Total magnetic moment: 0.00 μB per formula unit
Mass density: 7.18 g cm⁻³

=====

Pick run C: it beats the second-best structure by 29 meV/atom.

=====

Run A
Material: Nd3Mg2Pb4
Method: DFT, GGA-PBE
State: optimized geometry

Cell: 6.7764 6.7764 9.6244 Å, 113.03 113.03 40.99°
Positions (direct):
Nd 0.0000 0.0000 0.0000
Nd 0.3704 0.3704 0.3055
Nd 0.6296 0.6296 0.6945
Mg 0.3123 0.3123 0.6375
Mg 0.6877 0.6877 0.3625
Pb 0.0702 0.0702 0.3868
Pb 0.3018 0.3018 0.9327
Pb 0.6982 0.6982 0.0673
Pb 0.9298 0.9298 0.6132

Total magnetic moment: 0.00 μB per formula unit
Mass density: 8.26 g cm⁻³

=====

Run B
Material: Nd3Mg2Pb4
Method: DFT, GGA-PBE
State: optimized geometry

Cell: 4.8002 7.2241 8.6497 Å, 110.25 106.07 90.05°
Positions (direct):
Nd 0.0000 0.0000 0.0000
Nd 0.1294 0.6121 0.2591
Nd 0.8706 0.3879 0.7409
Mg 0.3300 0.0040 0.6619
Mg 0.6700 0.9960 0.3381
Pb 0.2173 0.2539 0.4326
Pb 0.4855 0.6974 0.9711
Pb 0.5145 0.3026 0.0289
Pb 0.7827 0.7461 0.5674

Total magnetic moment: 0.00 μB per formula unit
Mass density: 8.09 g cm⁻³

=====

Pick run B: it beats the second-best structure by 18 meV/atom.